[1]
First-principles (PBE) data for a geometry-optimized Tb2Sm3Pb4 structure, as listed in Alexandria.

Output
Total magnetic moment   0.00 μB per formula unit
Symmetry   Immm
Raw total energy   -4.680 eV/atom
Energy of formation from the pure elements   -0.430 eV per atom

Structure (POSCAR):
```
Tb2Sm3Pb4
1.0
7.651 -2.166 4.503
0.887 -0.099 9.094
-4.630 -3.041 -7.268
Tb Sm Pb
2 3 4
Cartesian
1.389 -0.369 2.212
7.149 -1.897 11.385
5.252 -1.393 8.364
3.286 -0.872 5.234
-1.871 -1.570 0.913
2.183 -3.763 -1.998
0.307 -2.148 4.382
0.838 -1.445 -0.767
3.602 -3.159 1.948
```

[2]
First-principles (PBE) data for a geometry-optimized Tb12Sm6Pb structure, as listed in Alexandria.

Output
Total magnetic moment   0.00 μB per formula unit
Symmetry   R-3
Raw total energy   -4.533 eV/atom
Energy of formation from the pure elements   0.077 eV per atom

Structure (POSCAR):
```
Tb12Sm6Pb
1.0
8.533 0.395 -1.441
-1.767 8.357 -1.441
0.305 0.395 8.648
Tb Sm Pb
12 6 1
Cartesian
4.837 1.892 3.943
0.613 5.156 3.945
3.985 5.158 -0.193
2.233 7.254 1.823
6.457 3.990 1.820
3.085 3.988 5.959
2.441 0.399 6.026
1.214 6.684 7.203
8.295 2.858 4.587
4.629 8.748 -0.260
5.857 2.463 -1.437
-1.225 6.288 1.179
1.027 1.337 3.145
6.604 5.628 5.393
3.781 7.815 5.384
6.043 7.809 2.621
0.466 3.518 0.373
3.289 1.331 0.382
0.000 0.000 0.000
```

[3]
First-principles (PBE) data for a geometry-optimized Tb3Sm2Pb4 structure, as listed in Alexandria.

Output
Total magnetic moment   0.00 μB per formula unit
Symmetry   P2_1/c
Raw total energy   -4.818 eV/atom
Energy of formation from the pure elements   -0.578 eV per atom

Structure (POSCAR):
```
Tb3Sm2Pb4
1.0
8.196 -0.264 0.000
-2.943 7.996 0.000
0.000 0.000 8.444
Tb Sm Pb
6 4 8
Cartesian
-1.471 3.998 4.222
2.627 3.866 0.000
5.301 1.749 7.091
4.050 5.851 2.870
-0.048 5.983 1.352
1.203 1.881 5.574
3.976 1.416 2.706
5.375 6.184 6.928
1.277 6.316 5.737
-0.122 1.548 1.516
6.515 0.469 4.539
2.836 7.130 0.317
-1.262 7.262 3.905
2.417 0.601 8.127
5.608 3.686 1.191
3.743 3.913 5.413
-0.354 4.045 7.253
1.510 3.818 3.031
```

[4]
First-principles (PBE) data for a geometry-optimized TbSmPb structure, as listed in Alexandria.

Output
Total magnetic moment   0.00 μB per formula unit
Symmetry   I4mm
Raw total energy   -4.651 eV/atom
Energy of formation from the pure elements   -0.298 eV per atom
Energy above the lowest structure with this stoichiometry   0.1422 eV per atom

Structure (POSCAR):
```
TbSmPb
1.0
-3.124 1.060 1.526
-1.773 -0.812 -3.067
1.373 -6.687 3.131
Pb Tb Sm
1 1 1
Cartesian
-0.612 -3.738 1.344
-3.396 -5.655 1.307
-2.717 -1.516 -0.181
```

[5]
First-principles (PBE) data for a geometry-optimized Tb6Sm5Pb structure, as listed in Alexandria.

Output
Total magnetic moment   0.00 μB per formula unit
Symmetry   Immm
Raw total energy   -4.655 eV/atom
Energy of formation from the pure elements   -0.065 eV per atom

Structure (POSCAR):
```
Tb6Sm5Pb
1.0
-3.719 1.495 -2.934
6.688 -3.189 -5.898
-3.388 -7.510 4.669
Pb Tb Sm
1 6 5
Cartesian
0.000 0.000 0.000
-1.768 -2.980 0.722
-1.981 -7.652 -1.392
-1.961 -1.485 -2.477
1.542 -7.719 -1.686
1.562 -1.552 -2.771
1.349 -6.224 -4.885
-3.534 -6.027 1.405
-3.697 -4.553 -1.841
-0.210 -4.602 -2.082
3.278 -4.651 -2.322
3.114 -3.177 -5.568
```

[6]
First-principles (PBE) data for a geometry-optimized Tb2SmPb structure, as listed in Alexandria.

Output
Total magnetic moment   0.00 μB per formula unit
Symmetry   P2_1/m
Raw total energy   -4.715 eV/atom
Energy of formation from the pure elements   -0.293 eV per atom
Energy above the lowest structure with this stoichiometry   0.0083 eV per atom

Structure (POSCAR):
```
Tb2SmPb
1.0
4.705 0.000 0.000
0.000 4.598 -0.909
0.000 -0.075 11.683
Tb Sm Pb
4 2 2
Cartesian
3.529 1.961 9.902
1.176 2.562 0.872
1.176 4.247 9.382
3.529 0.276 1.392
1.176 1.375 6.912
3.529 3.149 3.862
3.529 3.789 7.029
1.176 0.734 3.745
```

[7]
First-principles (PBE) data for a geometry-optimized Tb2Sm3Pb2 structure, as listed in Alexandria.

Output
Total magnetic moment   0.43 μB per formula unit
Symmetry   C2/m
Raw total energy   -4.557 eV/atom
Energy of formation from the pure elements   -0.152 eV per atom

Structure (POSCAR):
```
Tb2Sm3Pb2
1.0
-2.052 2.232 1.855
-3.831 -6.302 3.344
8.200 2.241 2.969
Tb Sm Pb
2 3 2
Cartesian
1.606 -0.915 6.281
0.712 -0.915 1.888
-1.915 -3.151 1.672
0.069 -3.478 4.261
2.248 1.648 3.908
-3.356 -4.009 4.516
5.674 2.180 3.653
```

[8]
First-principles (PBE) data for a geometry-optimized Tb2SmPb2 structure, as listed in Alexandria.

Output
Total magnetic moment   0.00 μB per formula unit
Symmetry   Cmc2_1
Raw total energy   -4.729 eV/atom
Energy of formation from the pure elements   -0.450 eV per atom

Structure (POSCAR):
```
Tb2SmPb2
1.0
-3.990 -2.727 -1.096
1.689 -4.353 4.680
-3.070 6.224 6.896
Tb Sm Pb
4 2 4
Cartesian
0.449 -1.172 1.284
-1.000 -0.475 4.823
-5.131 1.576 3.553
-5.747 0.128 9.399
-3.046 -0.411 0.908
-3.100 1.553 7.423
-1.867 -2.912 2.838
-2.009 1.855 2.698
-4.117 -0.766 5.690
-4.275 4.043 5.507
```

[9]
First-principles (PBE) data for a geometry-optimized TbSm5Pb6 structure, as listed in Alexandria.

Output
Total magnetic moment   0.00 μB per formula unit
Symmetry   Immm
Raw total energy   -4.689 eV/atom
Energy of formation from the pure elements   -0.483 eV per atom

Structure (POSCAR):
```
TbSm5Pb6
1.0
4.931 -0.318 0.812
-0.025 8.426 3.454
1.119 1.186 9.119
Pb Tb Sm
6 1 5
Cartesian
4.469 5.055 5.724
4.481 0.830 3.993
3.566 7.359 12.120
2.459 1.936 1.265
1.544 8.464 9.392
1.556 4.239 7.661
0.000 0.000 0.000
4.027 1.977 7.211
2.009 3.098 4.462
-0.012 4.213 1.727
4.016 6.196 8.923
1.998 7.317 6.174
```

[10]
First-principles (PBE) data for a geometry-optimized Tb2SmPb structure, as listed in Alexandria.

Output
Total magnetic moment   0.00 μB per formula unit
Symmetry   P4/mmm
Raw total energy   -4.723 eV/atom
Energy of formation from the pure elements   -0.301 eV per atom
Energy above the lowest structure with this stoichiometry   0.0000 eV per atom

Structure (POSCAR):
```
Tb2SmPb
1.0
-2.305 -3.416 -2.613
1.837 -3.477 2.925
-3.910 0.398 2.929
Pb Tb Sm
1 2 1
Cartesian
-2.189 -3.248 1.621
-1.955 0.199 1.464
0.919 -1.739 1.463
-1.153 -1.708 -1.307
```

[11]
First-principles (PBE) data for a geometry-optimized TbSm5Pb5 structure, as listed in Alexandria.

Output
Total magnetic moment   0.55 μB per formula unit
Symmetry   C2/m
Raw total energy   -4.567 eV/atom
Energy of formation from the pure elements   -0.315 eV per atom

Structure (POSCAR):
```
TbSm5Pb5
1.0
-4.690 -3.309 -2.747
7.305 -4.566 0.397
-3.084 -1.224 6.739
Tb Sm Pb
1 5 5
Cartesian
0.000 0.000 0.000
-1.723 -4.113 0.526
-3.278 -4.701 3.889
-1.542 -0.612 3.370
2.809 -4.397 0.500
1.254 -4.985 3.864
0.459 -6.002 -0.924
-1.073 -6.623 2.441
-2.345 -1.654 -1.373
0.605 -2.475 1.948
-0.928 -3.096 5.313
```

[12]
First-principles (PBE) data for a geometry-optimized TbSm2Pb structure, as listed in Alexandria.

Output
Total magnetic moment   0.00 μB per formula unit
Symmetry   Cmcm
Raw total energy   -4.402 eV/atom
Energy of formation from the pure elements   0.042 eV per atom
Energy above the lowest structure with this stoichiometry   0.3532 eV per atom

Structure (POSCAR):
```
TbSm2Pb
1.0
-0.960 -0.624 -3.283
-2.539 -4.812 1.658
-10.981 7.071 3.707
Tb Sm Pb
2 4 2
Cartesian
-13.187 2.450 1.549
-1.293 -0.815 0.533
-9.617 0.344 0.905
-4.045 -2.346 1.629
-4.863 1.291 1.176
-10.435 3.981 0.453
-6.904 -1.256 0.416
-7.576 2.891 1.665
```